Material: ScPaPb2O6
Method: DFT, PBE
State: relaxed

a b c (Å): 6.0933 5.9997 5.9229
angles (deg): 120.43 119.92 90.00
With the nearest neighbours (Å) after each atom.
Atoms (fractional coordinates):
Pb: 0.2137 0.2465 0.4929  5 O 2.57-2.75
Pb: 0.7863 0.7535 0.5071  5 O 2.57-2.75
O: 0.3308 0.7495 0.4990  1 Pa 2.13, 1 Sc 2.15
O: 0.8098 0.3073 0.1088  1 Sc 2.14, 1 Pa 2.23
O: 0.8098 0.8015 0.1088  1 Sc 2.14, 1 Pa 2.23
O: 0.6692 0.2505 0.5010  1 Pa 2.13, 1 Sc 2.15
O: 0.1902 0.1985 0.8912  1 Sc 2.14, 1 Pa 2.23
O: 0.1902 0.6927 0.8912  1 Sc 2.14, 1 Pa 2.23
Pa: 0.5000 0.0000 0.0000  6 O 2.13-2.23
Sc: 0.0000 0.5000 0.0000  6 O 2.14-2.15

The value obtained for the density of states at the Fermi level is 0.00 states/eV per cell. Its volume is 152.3 Å³/cell. The calculation puts the formation energy without anion corrections at -248 kJ/mol of atoms. The calculation puts the energy at -7.8690 eV/atom.

***

Material: PaPbSeO5
Method: DFT, PBE
State: relaxed

a b c (Å): 6.6780 6.6780 8.2033
angles (deg): 100.90 100.90 111.12
With the nearest neighbours (Å) after each atom.
Atoms (fractional coordinates):
Se: 0.6970 0.3030 0.2500  2 O 1.73
Se: 0.3030 0.6970 0.7500  2 O 1.73
Pb: 0.6625 0.3375 0.7500  2 O 2.22
Pb: 0.3375 0.6625 0.2500  2 O 2.22
O: 0.2580 0.3157 0.1015  1 Pa 2.07, 1 Pb 2.22
O: 0.3157 0.2580 0.6015  1 Pa 2.07, 1 Pb 2.22
O: 0.7420 0.6842 0.8985  1 Pa 2.07, 1 Pb 2.22
O: 0.0576 0.9424 0.2500  2 Pa 2.15
O: 0.7584 0.1766 0.0728  1 Se 1.73
O: 0.9424 0.0576 0.7500  2 Pa 2.15
O: 0.2416 0.8234 0.9272  1 Se 1.73
O: 0.1766 0.7584 0.5728  1 Se 1.73
O: 0.6842 0.7420 0.3985  1 Pa 2.07, 1 Pb 2.22
O: 0.8234 0.2416 0.4272  1 Se 1.73
Pa: 0.0000 0.0000 0.0000  4 O 2.07-2.15
Pa: 0.0000 0.0000 0.5000  4 O 2.07-2.15

The value obtained for the density of states at the Fermi level is 0.19 states/eV per cell. Its volume is 321.6 Å³/cell. The calculation puts the formation energy without anion corrections at -185 kJ/mol of atoms. The calculation puts the energy at -7.1012 eV/atom.

***

Material: Pa3PbSe2O6
Method: DFT, PBE
State: relaxed

a b c (Å): 5.8488 7.6085 7.6148
angles (deg): 119.97 72.50 90.00
With the nearest neighbours (Å) after each atom.
Atoms (fractional coordinates):
Se: 0.2077 0.6775 0.3549  3 Pa 2.93-2.99, 1 O 3.19
Se: 0.7923 0.3225 0.6451  3 Pa 2.93-2.99, 1 O 3.19
O: 0.7708 0.3921 0.1891  2 Pa 2.14
O: 0.4215 0.1931 0.3861  2 Pa 2.15
O: 0.2292 0.2031 0.8109  2 Pa 2.14
O: 0.5785 0.8069 0.6139  2 Pa 2.15
O: 0.2292 0.6079 0.8109  2 Pa 2.14
O: 0.7708 0.7969 0.1891  2 Pa 2.14
Pa: 0.0000 0.5000 0.0000  4 O 2.14
Pa: 0.5000 0.0000 0.5000  4 O 2.14-2.15
Pa: 0.5000 0.5000 0.5000  4 O 2.14-2.15
Pb: 0.5000 0.0000 0.0000  2 O 2.43

The value obtained for the density of states at the Fermi level is 3.58 states/eV per cell. Its volume is 275.3 Å³/cell. The calculation puts the formation energy without anion corrections at -249 kJ/mol of atoms. The calculation puts the energy at -8.3230 eV/atom.

***

Material: PaSiPb2O6
Method: DFT, PBE
State: relaxed

a b c (Å): 4.6501 5.5602 5.5602
angles (deg): 90.00 90.00 90.00
With the nearest neighbours (Å) after each atom.
Atoms (fractional coordinates):
O: 0.6832 0.2213 0.2213  1 Si 1.79
O: 0.2334 0.0000 0.0000  1 Si 1.65
O: 0.1323 0.5000 0.5000  2 Pa 2.24-2.41
O: 0.6832 0.7787 0.7787  1 Si 1.79
O: 0.6832 0.7787 0.2213  1 Si 1.79
O: 0.6832 0.2213 0.7787  1 Si 1.79
Pa: 0.6145 0.5000 0.5000  6 O 2.21-2.41
Pb: 0.0725 0.5000 0.0000  8 O 2.68-2.88
Pb: 0.0725 0.0000 0.5000  8 O 2.68-2.88
Si: 0.5890 0.0000 0.0000  5 O 1.65-1.79

The value obtained for the density of states at the Fermi level is 2.69 states/eV per cell. Its volume is 143.8 Å³/cell. The calculation puts the formation energy without anion corrections at -212 kJ/mol of atoms. The calculation puts the energy at -7.4055 eV/atom.

***

Material: PaSiPbO6
Method: DFT, PBE
State: relaxed

a b c (Å): 4.7459 5.3065 5.3065
angles (deg): 120.00 90.00 90.00
With the nearest neighbours (Å) after each atom.
Atoms (fractional coordinates):
Pb: 0.5000 0.6667 0.3333  6 O 2.31
O: 0.7291 0.2644 0.9694  1 Si 1.84
O: 0.7291 0.0306 0.2949  1 Si 1.84
O: 0.2709 0.7051 0.9694  1 Si 1.84
O: 0.7291 0.7051 0.7356  1 Si 1.84
O: 0.2709 0.2644 0.2949  1 Si 1.84
O: 0.2709 0.0306 0.7356  1 Si 1.84
Si: 0.5000 0.0000 0.0000  6 O 1.84
Pa: 0.0000 0.3333 0.6667  6 O 2.23

The value obtained for the density of states at the Fermi level is 4.38 states/eV per cell. Its volume is 115.7 Å³/cell. The calculation puts the formation energy without anion corrections at -222 kJ/mol of atoms. The calculation puts the energy at -7.6749 eV/atom.

***

Material: SmPaPbO6
Method: DFT, PBE
State: relaxed

a b c (Å): 4.8757 5.7172 5.7172
angles (deg): 120.00 90.00 90.00
With the nearest neighbours (Å) after each atom.
Atoms (fractional coordinates):
O: 0.2523 0.0210 0.6820  1 Pa 2.21, 1 Pb 2.24, 1 Sm 2.34
O: 0.2523 0.6610 0.9790  1 Pa 2.21, 1 Pb 2.24, 1 Sm 2.34
O: 0.7477 0.0210 0.3390  1 Pa 2.21, 1 Pb 2.24, 1 Sm 2.34
O: 0.7477 0.6610 0.6820  1 Pa 2.21, 1 Pb 2.24, 1 Sm 2.34
O: 0.7477 0.3180 0.9790  1 Pa 2.21, 1 Pb 2.24, 1 Sm 2.34
O: 0.2523 0.3180 0.3390  1 Pa 2.21, 1 Pb 2.24, 1 Sm 2.34
Sm: 0.5000 0.6667 0.3333  6 O 2.34
Pa: 0.0000 0.3333 0.6667  6 O 2.21
Pb: 0.5000 0.0000 0.0000  6 O 2.24

The value obtained for the density of states at the Fermi level is 0.00 states/eV per cell. Its volume is 138.0 Å³/cell. The calculation puts the formation energy without anion corrections at -246 kJ/mol of atoms. The calculation puts the energy at -7.8507 eV/atom.